The following is a DFT calculation (PBE with a Hubbard U) of crystalline V2SbPbO at its relaxed geometry.

```
V2SbPbO
1.0
4.420 0.000 0.000
0.000 5.122 0.000
0.000 0.000 4.420
Pb Sb O V
1 1 1 2
Direct
0.500 0.500 0.500
0.000 0.500 0.000
0.000 0.000 0.000
0.000 0.000 0.500
0.500 0.000 0.000
```

Output
* space-group type: No. 123
* E: -5.381 eV per atom

---

The following is a DFT calculation (PBE with a Hubbard U) of crystalline VSbPbO6 at its relaxed geometry.

```
VSbPbO6
1.0
5.254 0.000 0.000
2.627 4.550 0.000
0.000 0.000 5.379
V Sb Pb O
1 1 1 6
Direct
0.667 0.667 0.500
0.333 0.333 0.500
0.000 0.000 0.000
0.986 0.393 0.297
0.393 0.986 0.703
0.621 0.393 0.703
0.986 0.621 0.703
0.393 0.621 0.297
0.621 0.986 0.297
```

Output
* space-group type: No. 149
* E: -6.547 eV per atom

---

Q: Number 1 is which compound?
A: V2SbPbO

---

Repeat the first record exactly.
The following is a DFT calculation (PBE with a Hubbard U) of crystalline V2SbPbO at its relaxed geometry.

```
V2SbPbO
1.0
4.420 0.000 0.000
0.000 5.122 0.000
0.000 0.000 4.420
Pb Sb O V
1 1 1 2
Direct
0.500 0.500 0.500
0.000 0.500 0.000
0.000 0.000 0.000
0.000 0.000 0.500
0.500 0.000 0.000
```

Output
* space-group type: No. 123
* E: -5.381 eV per atom

---

Q: The highest E belongs to which entry?
A: V2SbPbO

---

What did the second record say?
The following is a DFT calculation (PBE with a Hubbard U) of crystalline VSbPbO6 at its relaxed geometry.

```
VSbPbO6
1.0
5.254 0.000 0.000
2.627 4.550 0.000
0.000 0.000 5.379
V Sb Pb O
1 1 1 6
Direct
0.667 0.667 0.500
0.333 0.333 0.500
0.000 0.000 0.000
0.986 0.393 0.297
0.393 0.986 0.703
0.621 0.393 0.703
0.986 0.621 0.703
0.393 0.621 0.297
0.621 0.986 0.297
```

Output
* space-group type: No. 149
* E: -6.547 eV per atom